PBE BaPaBeAs3, relaxed; SG = P2_1/m, No. 11; crystal system = monoclinic; theoretical density = 6.07 g cm⁻³; formation energy = -0.84 eV/atom
1.0
4.152 0.000 0.000
0.000 8.961 -0.036
0.000 -2.397 8.862
Pa Ba As Be
2 2 6 2
direct
0.250 0.677 0.162
0.750 0.323 0.838
0.250 0.192 0.244
0.750 0.808 0.756
0.250 0.116 0.862
0.750 0.180 0.527
0.250 0.820 0.473
0.750 0.458 0.161
0.750 0.884 0.138
0.250 0.542 0.839
0.250 0.083 0.604
0.750 0.917 0.396